[1]
# Al2InNi, optimized geometry, DFT PBE
data_Al2InNi
_chemical_formula_sum 'Al2 In1 Ni1'
_cell_length_a 3.361
_cell_length_b 4.075
_cell_length_c 5.228
_cell_angle_alpha 90.00
_cell_angle_beta 108.41
_cell_angle_gamma 90.00
_space_group_name_H-M_alt 'P 1 m 1'
_space_group_IT_number 6
_space_group_name_Hall 'P -2y'
loop_
_atom_site_label
_atom_site_type_symbol
_atom_site_fract_x
_atom_site_fract_y
_atom_site_fract_z
Al1 Al 0.000 0.000 0.000
Al2 Al 0.419 0.500 0.836
In1 In 0.695 0.500 0.379
Ni1 Ni 0.289 0.000 0.574
# DFT total energy   -4.06 eV/atom
# V   67.94 Å³ per cell
# N(E_F)   0.28 states/eV/atom
# DFT formation energy   -0.06 eV per atom
# Crystal system   monoclinic

***

[2]
# AlInNi2, optimized geometry, DFT PBE
data_AlInNi2
_chemical_formula_sum 'Al2 In2 Ni4'
_cell_length_a 8.050
_cell_length_b 2.867
_cell_length_c 5.183
_cell_angle_alpha 90.00
_cell_angle_beta 100.98
_cell_angle_gamma 90.00
_space_group_name_H-M_alt 'C 1 2/m 1'
_space_group_IT_number 12
_space_group_name_Hall '-C 2y'
loop_
_atom_site_label
_atom_site_type_symbol
_atom_site_fract_x
_atom_site_fract_y
_atom_site_fract_z
Al1 Al 0.000 0.000 0.000
In1 In 0.000 0.500 0.500
Ni1 Ni 0.243 0.500 0.211
# DFT total energy   -4.64 eV/atom
# V   117.44 Å³ per cell
# N(E_F)   0.39 states/eV/atom
# DFT formation energy   -0.12 eV per atom
# Crystal system   monoclinic

***

[3]
# AlIn2Ni, optimized geometry, DFT PBE
data_AlIn2Ni
_chemical_formula_sum 'Al4 In8 Ni4'
_cell_length_a 9.029
_cell_length_b 9.029
_cell_length_c 4.596
_cell_angle_alpha 90.00
_cell_angle_beta 90.00
_cell_angle_gamma 90.00
_space_group_name_H-M_alt 'I -4 2 d'
_space_group_IT_number 122
_space_group_name_Hall 'I -4 2bw'
loop_
_atom_site_label
_atom_site_type_symbol
_atom_site_fract_x
_atom_site_fract_y
_atom_site_fract_z
Al1 Al 0.000 0.000 0.000
In1 In 0.115 0.750 0.625
Ni1 Ni 0.000 0.000 0.500
# DFT total energy   -3.69 eV/atom
# V   374.62 Å³ per cell
# N(E_F)   0.50 states/eV/atom
# DFT formation energy   0.06 eV per atom
# Crystal system   tetragonal

***

[4]
# Al2InNi, optimized geometry, DFT PBE
data_Al2InNi
_chemical_formula_sum 'Al4 In2 Ni2'
_cell_length_a 5.264
_cell_length_b 7.855
_cell_length_c 3.248
_cell_angle_alpha 90.00
_cell_angle_beta 90.00
_cell_angle_gamma 90.00
_space_group_name_H-M_alt 'C m m m'
_space_group_IT_number 65
_space_group_name_Hall '-C 2 2'
loop_
_atom_site_label
_atom_site_type_symbol
_atom_site_fract_x
_atom_site_fract_y
_atom_site_fract_z
Al1 Al 0.250 0.250 0.000
In1 In 0.000 0.000 0.500
Ni1 Ni 0.000 0.500 0.500
# DFT total energy   -3.93 eV/atom
# V   134.31 Å³ per cell
# N(E_F)   0.29 states/eV/atom
# DFT formation energy   0.07 eV per atom
# Crystal system   orthorhombic

***

[5]
# AlInNi2, optimized geometry, DFT PBE
data_AlInNi2
_chemical_formula_sum 'Al3 In3 Ni6'
_cell_length_a 2.9103
_cell_length_b 2.9103
_cell_length_c 23.9548
_cell_angle_alpha 90.00
_cell_angle_beta 90.00
_cell_angle_gamma 120.00
_space_group_name_H-M_alt 'R -3 m'
_space_group_IT_number 166
_space_group_name_Hall '-R 3 2"'
loop_
_atom_site_label
_atom_site_type_symbol
_atom_site_fract_x
_atom_site_fract_y
_atom_site_fract_z
Al1 Al 0.0000 0.0000 0.0000
In1 In 0.0000 0.0000 0.5000
Ni1 Ni 0.0000 0.0000 0.2564
# DFT total energy   -4.60 eV/atom
# V   175.71 Å³ per cell
# N(E_F)   0.52 states/eV/atom
# DFT formation energy   -0.09 eV per atom
# Crystal system   trigonal

***

[6]
# Al2InNi, optimized geometry, DFT PBE
data_Al2InNi
_chemical_formula_sum 'Al4 In2 Ni2'
_cell_length_a 2.795
_cell_length_b 4.075
_cell_length_c 12.373
_cell_angle_alpha 90.00
_cell_angle_beta 90.00
_cell_angle_gamma 90.00
_space_group_name_H-M_alt 'I m m 2'
_space_group_IT_number 44
_space_group_name_Hall 'I 2 -2'
loop_
_atom_site_label
_atom_site_type_symbol
_atom_site_fract_x
_atom_site_fract_y
_atom_site_fract_z
Al1 Al 0.000 0.000 0.000
Al2 Al 0.000 0.500 0.168
In1 In 0.000 0.500 0.808
Ni1 Ni 0.000 0.000 0.504
# DFT total energy   -4.17 eV/atom
# V   140.94 Å³ per cell
# N(E_F)   0.36 states/eV/atom
# DFT formation energy   -0.17 eV per atom
# Crystal system   orthorhombic

***

[7]
# Al2InNi, optimized geometry, DFT PBE
data_Al2InNi
_chemical_formula_sum 'Al4 In2 Ni2'
_cell_length_a 4.002
_cell_length_b 4.002
_cell_length_c 8.151
_cell_angle_alpha 90.00
_cell_angle_beta 90.00
_cell_angle_gamma 90.00
_space_group_name_H-M_alt 'I 4/m m m'
_space_group_IT_number 139
_space_group_name_Hall '-I 4 2'
loop_
_atom_site_label
_atom_site_type_symbol
_atom_site_fract_x
_atom_site_fract_y
_atom_site_fract_z
Al1 Al 0.000 0.500 0.250
In1 In 0.000 0.000 0.000
Ni1 Ni 0.000 0.000 0.500
# DFT total energy   -3.98 eV/atom
# V   130.56 Å³ per cell
# N(E_F)   0.60 states/eV/atom
# DFT formation energy   0.03 eV per atom
# Crystal system   tetragonal

***

[8]
# Al4InNi, optimized geometry, DFT PBE
data_Al4InNi
_chemical_formula_sum 'Al16 In4 Ni4'
_cell_length_a 7.502
_cell_length_b 7.502
_cell_length_c 7.502
_cell_angle_alpha 90.00
_cell_angle_beta 90.00
_cell_angle_gamma 90.00
_space_group_name_H-M_alt 'F -4 3 m'
_space_group_IT_number 216
_space_group_name_Hall 'F -4 2 3'
loop_
_atom_site_label
_atom_site_type_symbol
_atom_site_fract_x
_atom_site_fract_y
_atom_site_fract_z
Al1 Al 0.125 0.125 0.125
In1 In 0.250 0.250 0.750
Ni1 Ni 0.000 0.000 0.500
# DFT total energy   -3.66 eV/atom
# V   422.23 Å³ per cell
# N(E_F)   0.60 states/eV/atom
# DFT formation energy   0.26 eV per atom
# Crystal system   cubic